Entry 1:
{"formula": "Sr3BiAu", "functional": "PBE", "state": "relaxed", "cell": [[-3.035, -2.122, -2.953], [6.552, -6.545, -2.033], [-0.553, -7.415, 5.895]], "species": ["Sr", "Sr", "Sr", "Sr", "Sr", "Sr", "Bi", "Bi", "Au", "Au"], "frac_coords": [[0.864, 0.385, 0.812], [0.864, 0.003, 0.680], [0.863, 0.627, 0.056], [0.363, 0.042, 0.094], [0.863, 0.761, 0.437], [0.363, 0.347, 0.399], [0.363, 0.694, 0.746], [0.863, 0.194, 0.247], [0.363, 0.694, 0.246], [0.364, 0.194, 0.746]], "dos_at_fermi_per_ev_cell": 6.10, "e_above_lowest_polymorph_mev_per_atom": 0, "delta_e_f_kj_per_mol_fu": -315.0}

=====

Entry 2:
{"formula": "Sr3Bi3Au8", "functional": "PBE", "state": "relaxed", "cell": [[-3.909, 2.939, 0.030], [-5.624, -3.342, -6.500], [-6.899, -5.140, 3.321]], "species": ["Sr", "Sr", "Sr", "Bi", "Bi", "Bi", "Au", "Au", "Au", "Au", "Au", "Au", "Au", "Au"], "frac_coords": [[0.500, 0.500, 0.500], [0.793, 0.207, 0.207], [0.207, 0.793, 0.793], [0.500, 0.000, 0.000], [0.000, 0.777, 0.223], [0.000, 0.223, 0.777], [0.642, 0.082, 0.634], [0.358, 0.918, 0.366], [0.642, 0.634, 0.082], [0.358, 0.366, 0.918], [0.827, 0.810, 0.536], [0.173, 0.190, 0.464], [0.827, 0.536, 0.810], [0.173, 0.464, 0.190]], "dos_at_fermi_per_ev_cell": 5.82, "delta_e_f_kj_per_mol_fu": -646.3}

=====

Entry 3:
{"formula": "SrBi2Au9", "functional": "PBE", "state": "relaxed", "cell": [[-4.390, -1.427, -3.279], [4.937, -2.719, -0.537], [-5.584, -12.709, 13.006]], "species": ["Sr", "Sr", "Bi", "Bi", "Bi", "Bi", "Au", "Au", "Au", "Au", "Au", "Au", "Au", "Au", "Au", "Au", "Au", "Au", "Au", "Au", "Au", "Au", "Au", "Au"], "frac_coords": [[0.333, 0.667, 0.750], [0.667, 0.333, 0.250], [0.333, 0.667, 0.532], [0.667, 0.333, 0.032], [0.667, 0.333, 0.468], [0.333, 0.667, 0.968], [0.000, 0.000, 0.000], [0.000, 0.000, 0.500], [0.000, 0.000, 0.250], [0.000, 0.000, 0.750], [0.333, 0.667, 0.250], [0.667, 0.333, 0.750], [0.168, 0.336, 0.126], [0.664, 0.832, 0.126], [0.168, 0.832, 0.126], [0.832, 0.664, 0.626], [0.336, 0.168, 0.626], [0.832, 0.168, 0.626], [0.336, 0.168, 0.874], [0.832, 0.664, 0.874], [0.832, 0.168, 0.874], [0.664, 0.832, 0.374], [0.168, 0.336, 0.374], [0.168, 0.832, 0.374]], "dos_at_fermi_per_ev_cell": 7.10, "delta_e_f_kj_per_mol_fu": -280.7}